No. 1
## Ba2InSn4Rh3 (PBE-GGA)

Data for crystalline Ba2InSn4Rh3 at its relaxed geometry.

```
Ba2InSn4Rh3
1.0
4.7105 0.0000 0.0000
0.0000 4.7105 0.0000
0.0000 0.0000 11.3579
Ba In Sn Rh
2 1 4 3
direct
0.0000 0.5000 0.2454
0.5000 0.0000 0.7546
0.0000 0.0000 0.5000
0.0000 0.0000 0.0000
0.0000 0.5000 0.6444
0.5000 0.0000 0.3556
0.5000 0.5000 0.0000
0.0000 0.5000 0.8821
0.5000 0.0000 0.1179
0.5000 0.5000 0.5000
```

As for the space group: No. 115.


No. 2
## BaIn2SnRh2 (PBE-GGA)

Data for crystalline BaIn2SnRh2 at its relaxed geometry.

```
BaIn2SnRh2
1.0
4.9642 0.0000 0.0000
0.0000 4.9642 0.0000
0.0000 0.0000 6.5239
Ba In Sn Rh
1 2 1 2
direct
0.0000 0.0000 0.0000
0.5000 0.5000 0.2625
0.5000 0.5000 0.7375
0.0000 0.0000 0.5000
0.0000 0.5000 0.5000
0.5000 0.0000 0.5000
```

As for the space group: No. 123.


No. 3
## Ba2Sr6InRh (PBE-GGA)

Data for crystalline Ba2Sr6InRh at its relaxed geometry.

```
Ba2Sr6InRh
1.0
0.0000 6.3028 6.3028
6.3028 0.0000 6.3028
6.3028 6.3028 0.0000
Ba Sr In Rh
2 6 1 1
direct
0.2500 0.2500 0.2500
0.7500 0.7500 0.7500
0.2352 0.2352 0.7648
0.2352 0.7648 0.2352
0.2352 0.7648 0.7648
0.7648 0.2352 0.2352
0.7648 0.2352 0.7648
0.7648 0.7648 0.2352
0.5000 0.5000 0.5000
0.0000 0.0000 0.0000
```

As for the space group: No. 225.


No. 4
## BaSr2InRh (PBE-GGA)

Data for crystalline BaSr2InRh at its relaxed geometry.

```
BaSr2InRh
1.0
5.7974 0.0000 0.0000
0.0000 5.7974 0.0000
0.0000 0.0000 5.4354
Ba Sr In Rh
1 2 1 1
direct
0.0000 0.0000 0.0000
0.0000 0.5000 0.5000
0.5000 0.0000 0.5000
0.5000 0.5000 0.0000
0.5000 0.5000 0.5000
```

As for the space group: No. 123. The calculation puts the distance to the lowest polymorph of the same formula at 0 meV/atom.


No. 5
## Ba6Sr2InRh (PBE-GGA)

Data for crystalline Ba6Sr2InRh at its relaxed geometry.

```
Ba6Sr2InRh
1.0
0.0000 6.5469 6.5469
6.5469 0.0000 6.5469
6.5469 6.5469 0.0000
Ba Sr In Rh
6 2 1 1
direct
0.2355 0.2355 0.7645
0.2355 0.7645 0.2355
0.2355 0.7645 0.7645
0.7645 0.2355 0.2355
0.7645 0.2355 0.7645
0.7645 0.7645 0.2355
0.2500 0.2500 0.2500
0.7500 0.7500 0.7500
0.5000 0.5000 0.5000
0.0000 0.0000 0.0000
```

As for the space group: No. 225.


No. 6
## BaSrIn2Rh (PBE-GGA)

Data for crystalline BaSrIn2Rh at its relaxed geometry.

```
BaSrIn2Rh
1.0
5.3417 0.0000 0.0000
0.0000 5.3417 0.0000
0.0000 0.0000 5.5631
Ba Sr In Rh
1 1 2 1
direct
0.0000 0.0000 0.0000
0.5000 0.5000 0.0000
0.0000 0.5000 0.5000
0.5000 0.0000 0.5000
0.5000 0.5000 0.5000
```

As for the space group: No. 123. The calculation puts the distance to the lowest polymorph of the same formula at 0 meV/atom.


No. 7
## BaSrIn2Rh (PBE-GGA)

Data for crystalline BaSrIn2Rh at its relaxed geometry.

```
BaSrIn2Rh
1.0
5.3656 0.0000 0.0000
0.0000 5.3656 0.0000
0.0000 0.0000 5.7216
Ba Sr In Rh
1 1 2 1
direct
0.0000 0.0000 0.0000
0.5000 0.5000 0.0000
0.0000 0.5000 0.5000
0.5000 0.0000 0.5000
0.0000 0.0000 0.5000
```

As for the space group: No. 123. The calculation puts the distance to the lowest polymorph of the same formula at 100 meV/atom.


No. 8
## BaSr2InRh (PBE-GGA)

Data for crystalline BaSr2InRh at its relaxed geometry.

```
BaSr2InRh
1.0
5.8187 0.0000 0.0000
0.0000 5.8187 0.0000
0.0000 0.0000 5.9015
Ba Sr In Rh
1 2 1 1
direct
0.0000 0.0000 0.0000
0.0000 0.5000 0.5000
0.5000 0.0000 0.5000
0.5000 0.5000 0.0000
0.0000 0.0000 0.5000
```

As for the space group: No. 123. The calculation puts the distance to the lowest polymorph of the same formula at 76 meV/atom.


No. 9
## BaSrIn2Rh (PBE-GGA)

Data for crystalline BaSrIn2Rh at its relaxed geometry.

```
BaSrIn2Rh
1.0
5.8223 0.0000 0.0000
0.0000 5.8223 0.0000
0.0000 0.0000 6.6086
Ba Sr In Rh
1 1 2 1
direct
0.0000 0.0000 0.0000
0.0000 0.0000 0.5000
0.0000 0.5000 0.5000
0.5000 0.0000 0.5000
0.5000 0.5000 0.0000
```

As for the space group: No. 123. The calculation puts the distance to the lowest polymorph of the same formula at 1601 meV/atom.


No. 10
## Ba2InTeRh (PBE-GGA)

Data for crystalline Ba2InTeRh at its relaxed geometry.

```
Ba2InTeRh
1.0
5.9625 0.0000 0.0000
0.0000 5.9625 0.0000
0.0000 0.0000 5.1537
Ba In Te Rh
2 1 1 1
direct
0.0000 0.5000 0.0000
0.5000 0.0000 0.0000
0.0000 0.0000 0.5000
0.5000 0.5000 0.5000
0.0000 0.0000 0.0000
```

As for the space group: No. 123. Its uncorrected formation energy is -0.767 eV per atom.


For the records above, the corresponding total energy values read -49.7 -27.7 -25.2 -16.6 -25.9 -18.2 -17.7 -16.2 -10.2 -20.9 eV for the cell shown.